DFT (GGA-PBEsol) results for LaSc2PdS after structural relaxation.

Energy relative to the elements, uncorrected ... -0.284 eV/atom
Total DFT energy (no corrections) ... -6.063 eV/atom

```
data_LaSc2PdS
_symmetry_space_group_name_H-M 'P 4/m m m'
_symmetry_Int_Tables_number 123
_symmetry_space_group_name_Hall '-P 4 2'
_cell_length_a 4.862
_cell_length_b 4.862
_cell_length_c 5.822
_cell_angle_alpha 90.00
_cell_angle_beta 90.00
_cell_angle_gamma 90.00
loop_
_atom_site_label
_atom_site_type_symbol
_atom_site_fract_x
_atom_site_fract_y
_atom_site_fract_z
La1 La 0.000 0.000 0.000
Sc1 Sc 0.000 0.500 0.500
Pd1 Pd 0.000 0.000 0.500
S1 S 0.500 0.500 0.000
```